Computed, not measured: an optimized crystal structure of PmZn2Ru at the PBE level of DFT.

E_tot = -4.282 eV/atom
Volume = 19.91 Å³ per atom

a = 4.298 Å, b = 4.298 Å, c = 5.562 Å
α = 67.27°, β = 67.27°, γ = 60.00°
Fractional positions:
1 Pm 0.000 0.000 0.000
2 Ru 0.500 0.500 0.500
3 Zn 0.207 0.207 0.378
4 Zn 0.793 0.793 0.622